Entry 1:
Computed, not measured: an optimized crystal structure of RbNaCd at the GGA-PBE level of DFT.

a = 5.759 Å, b = 5.759 Å, c = 5.759 Å
α = 60.00°, β = 60.00°, γ = 60.00°
Sites, in units of the cell vectors:
Cd 0.250 0.250 0.250
Na 0.000 0.000 0.000
Rb 0.750 0.750 0.750

Computed properties:
Final energy, eV/f.u.: -2.8

=====

Entry 2:
Computed, not measured: an optimized crystal structure of PrPaCu2Sb4 at the GGA-PBE level of DFT.

a = 4.373 Å, b = 4.373 Å, c = 9.818 Å
α = 90.00°, β = 90.00°, γ = 90.00°
Site moments in Bohr magnetons follow the coordinates.
Sites, in units of the cell vectors:
Cu 0.500 0.000 0.492  0.00
Cu 0.000 0.500 0.492  0.00
Pa 0.000 0.000 0.258  0.22
Pr 0.500 0.500 0.758  0.00
Sb 0.500 0.000 0.013  0.00
Sb 0.000 0.500 0.013  0.00
Sb 0.500 0.500 0.326  0.00
Sb 0.000 0.000 0.647  0.00

Computed properties:
Final energy, eV/f.u.: -42.6

=====

Entry 3:
Computed, not measured: an optimized crystal structure of KHoNp at the GGA-PBE level of DFT.

a = 5.775 Å, b = 5.775 Å, c = 5.775 Å
α = 60.00°, β = 60.00°, γ = 60.00°
Sites, in units of the cell vectors:
Ho 0.000 0.000 0.000
K 0.250 0.250 0.250
Np 0.750 0.750 0.750

Computed properties:
ΔE to the lowest computed polymorph, eV per formula unit: 0.00

=====

Entry 4:
Computed, not measured: an optimized crystal structure of TaAlZn at the GGA-PBE level of DFT.

a = 4.268 Å, b = 4.268 Å, c = 4.268 Å
α = 60.00°, β = 60.00°, γ = 60.00°
Sites, in units of the cell vectors:
Al 0.000 0.000 0.000
Ta 0.250 0.250 0.250
Zn 0.750 0.750 0.750

Computed properties:
Final energy, eV/f.u.: -15.1

=====

Entry 5:
Computed, not measured: an optimized crystal structure of CoAgBW at the GGA-PBE level of DFT.

a = 4.163 Å, b = 4.163 Å, c = 4.163 Å
α = 60.00°, β = 60.00°, γ = 60.00°
Sites, in units of the cell vectors:
Ag 0.500 0.500 0.500
B 0.000 0.000 0.000
Co 0.750 0.750 0.750
W 0.250 0.250 0.250

Computed properties:
ΔE to the lowest computed polymorph, eV per formula unit: 0.00

=====

Entry 6:
Computed, not measured: an optimized crystal structure of CsHgAsO at the GGA-PBE level of DFT.

a = 4.738 Å, b = 4.738 Å, c = 8.554 Å
α = 90.00°, β = 90.00°, γ = 90.00°
Sites, in units of the cell vectors:
As 0.750 0.750 0.082
As 0.250 0.250 0.918
Cs 0.750 0.250 0.500
Cs 0.250 0.750 0.500
Hg 0.250 0.250 0.220
Hg 0.750 0.750 0.780
O 0.750 0.250 0.000
O 0.250 0.750 0.000

Computed properties:
ΔE to the lowest computed polymorph, eV per formula unit: 1.31

=====

Which formula does entry 3 have? KHoNp

=====

Please write out number 6 again, unchanged.
Computed, not measured: an optimized crystal structure of CsHgAsO at the GGA-PBE level of DFT.

a = 4.738 Å, b = 4.738 Å, c = 8.554 Å
α = 90.00°, β = 90.00°, γ = 90.00°
Sites, in units of the cell vectors:
As 0.750 0.750 0.082
As 0.250 0.250 0.918
Cs 0.750 0.250 0.500
Cs 0.250 0.750 0.500
Hg 0.250 0.250 0.220
Hg 0.750 0.750 0.780
O 0.750 0.250 0.000
O 0.250 0.750 0.000

Computed properties:
ΔE to the lowest computed polymorph, eV per formula unit: 1.31